This record from Alexandria via LeMat-Bulk describes crystalline Sr2Cu3NiO6 at its relaxed geometry. The functional is PBE+U.

## Properties
For the raw total energy, the calculation gives -5.199 eV per atom.

Geometry as CIF:
```
data_Sr2Cu3NiO6
_cell_length_a 3.724
_cell_length_b 3.724
_cell_length_c 11.472
_cell_angle_alpha 90.00
_cell_angle_beta 90.00
_cell_angle_gamma 90.00
_space_group_name_H-M_alt 'P 4/m m m'
_space_group_IT_number 123
_space_group_name_Hall '-P 4 2'
loop_
_atom_site_label
_atom_site_type_symbol
_atom_site_fract_x
_atom_site_fract_y
_atom_site_fract_z
Sr1 Sr 0.000 0.000 0.205
Cu1 Cu 0.500 0.500 0.000
Cu2 Cu 0.500 0.500 0.370
Ni1 Ni 0.000 0.000 0.500
O1 O 0.000 0.500 0.385
O2 O 0.500 0.500 0.158
```